Entry 1:
# Dy2Tm7In2 (GGA-PBE, optimized geometry)
# Total magnetic moment: 0.00 μB/f.u.
# Formation energy: -0.033 eV per atom
data_Dy2Tm7In2
_chemical_formula_sum 'Dy4 Tm14 In4'
_cell_length_a 3.5704
_cell_length_b 16.9909
_cell_length_c 10.9341
_cell_angle_alpha 90.00
_cell_angle_beta 90.00
_cell_angle_gamma 90.00
_symmetry_space_group_name_H-M 'I m m 2'
_symmetry_Int_Tables_number 44
loop_
_symmetry_equiv_pos_as_xyz
'x,y,z'
'-x,-y,z'
'-x,y,z'
'x,-y,z'
'x+1/2,y+1/2,z+1/2'
'-x+1/2,-y+1/2,z+1/2'
'-x+1/2,y+1/2,z+1/2'
'x+1/2,-y+1/2,z+1/2'
loop_
_atom_site_label
_atom_site_fract_x
_atom_site_fract_y
_atom_site_fract_z
_atom_site_occupancy
Dy1 0.0000 0.2181 0.0000 1
Tm1 0.0000 0.0000 0.9327 1
Tm2 0.0000 0.1069 0.4991 1
Tm3 0.0000 0.3274 0.2556 1
Tm4 0.0000 0.3447 0.7437 1
In1 0.0000 0.0000 0.2378 1
In2 0.0000 0.5000 0.1892 1

---

Entry 2:
# Hg2MoPb (GGA-PBE, optimized geometry)
# Total magnetic moment: 0.55 μB/f.u.
# Formation energy: 0.643 eV per atom
data_Hg2MoPb
_chemical_formula_sum 'Hg2 Mo1 Pb1'
_cell_length_a 3.0582
_cell_length_b 5.2228
_cell_length_c 5.5377
_cell_angle_alpha 90.00
_cell_angle_beta 90.00
_cell_angle_gamma 90.00
_symmetry_space_group_name_H-M 'P m m m'
_symmetry_Int_Tables_number 47
loop_
_symmetry_equiv_pos_as_xyz
'x,y,z'
'-x,-y,-z'
'-x,-y,z'
'x,y,-z'
'x,-y,-z'
'-x,y,z'
'-x,y,-z'
'x,-y,z'
loop_
_atom_site_label
_atom_site_fract_x
_atom_site_fract_y
_atom_site_fract_z
_atom_site_occupancy
Hg1 0.0000 0.0000 0.0000 1
Hg2 0.5000 0.5000 0.0000 1
Mo1 0.0000 0.5000 0.5000 1
Pb1 0.5000 0.0000 0.5000 1

---

Entry 3:
# NdNb4N6 (GGA-PBE, optimized geometry)
# ΔE_f (raw): -1.07 eV/atom
# Total magnetic moment: 0.00 μB/f.u.
data_NdNb4N6
_chemical_formula_sum 'Nd4 Nb16 N24'
_cell_length_a 3.1814
_cell_length_b 10.3872
_cell_length_c 15.8803
_cell_angle_alpha 90.00
_cell_angle_beta 90.00
_cell_angle_gamma 90.00
_symmetry_space_group_name_H-M 'C m c m'
_symmetry_Int_Tables_number 63
_symmetry_space_group_name_Hall '-C 2c 2'
loop_
_atom_site_label
_atom_site_fract_x
_atom_site_fract_y
_atom_site_fract_z
_atom_site_occupancy
Nd1 0.0000 0.1534 0.2500 1
Nb1 0.0000 0.1024 0.6290 1
Nb2 0.0000 0.3538 0.5420 1
N1 0.0000 0.0000 0.0000 1
N2 0.0000 0.1617 0.7500 1
N3 0.0000 0.2638 0.0925 1
N4 0.0000 0.4660 0.6552 1

---

Entry 4:
# Ca6MgTl3 (GGA-PBE, optimized geometry)
# Total magnetic moment: 0.00 μB/f.u.
# Formation energy: -0.284 eV per atom
data_Ca6MgTl3
_chemical_formula_sum 'Ca12 Mg2 Tl6'
_cell_length_a 9.7804
_cell_length_b 5.5622
_cell_length_c 12.0222
_cell_angle_alpha 90.00
_cell_angle_beta 106.42
_cell_angle_gamma 90.00
_symmetry_space_group_name_H-M 'P 1 21/m 1'
_symmetry_Int_Tables_number 11
loop_
_symmetry_equiv_pos_as_xyz
'x,y,z'
'-x,-y,-z'
'-x,y+1/2,-z'
'x,-y+1/2,z'
loop_
_atom_site_label
_atom_site_fract_x
_atom_site_fract_y
_atom_site_fract_z
_atom_site_occupancy
Ca1 0.0369 0.2500 0.4112 1
Ca2 0.1404 0.7500 0.1836 1
Ca3 0.2414 0.2500 0.9936 1
Ca4 0.3276 0.7500 0.8001 1
Ca5 0.3580 0.2500 0.3137 1
Ca6 0.4092 0.2500 0.6113 1
Mg1 0.4557 0.7500 0.0987 1
Tl1 0.0371 0.7500 0.8851 1
Tl2 0.1339 0.2500 0.7095 1
Tl3 0.2798 0.7500 0.4779 1

---

Entry 5:
# La3Tc (GGA-PBE, optimized geometry)
# Total magnetic moment: 0.00 μB/f.u.
# Formation energy: 0.295 eV per atom
data_La3Tc
_chemical_formula_sum 'La3 Tc1'
_cell_length_a 3.8723
_cell_length_b 3.8723
_cell_length_c 9.9089
_cell_angle_alpha 90.00
_cell_angle_beta 90.00
_cell_angle_gamma 120.00
_symmetry_space_group_name_H-M 'P -6 m 2'
_symmetry_Int_Tables_number 187
_symmetry_space_group_name_Hall 'P -6 2'
loop_
_atom_site_label
_atom_site_fract_x
_atom_site_fract_y
_atom_site_fract_z
_atom_site_occupancy
La1 0.0000 0.0000 0.0000 1
La2 0.6667 0.3333 0.3180 1
Tc1 0.0000 0.0000 0.5000 1

---

Entry 6:
# Sr4TaCo (GGA-PBE, optimized geometry)
# Total magnetic moment: 7.04 μB/f.u.
# Formation energy: 1.533 eV per atom
data_Sr4TaCo
_chemical_formula_sum 'Sr16 Ta4 Co4'
_cell_length_a 9.6052
_cell_length_b 9.6052
_cell_length_c 9.6052
_cell_angle_alpha 90.00
_cell_angle_beta 90.00
_cell_angle_gamma 90.00
_symmetry_space_group_name_H-M 'F -4 3 m'
_symmetry_Int_Tables_number 216
_symmetry_space_group_name_Hall 'F -4 2 3'
loop_
_atom_site_label
_atom_site_fract_x
_atom_site_fract_y
_atom_site_fract_z
_atom_site_occupancy
Sr1 0.1247 0.1247 0.1247 1
Ta1 0.2500 0.2500 0.7500 1
Co1 0.0000 0.0000 0.5000 1

---

Entry 7:
# CuSbMo2 (GGA-PBE, optimized geometry)
# ΔE_f (raw): 0.36 eV/atom
# Total magnetic moment: 0.00 μB/f.u.
data_CuSbMo2
_chemical_formula_sum 'Cu2 Sb2 Mo4'
_cell_length_a 3.8874
_cell_length_b 3.8874
_cell_length_c 8.6146
_cell_angle_alpha 90.00
_cell_angle_beta 90.00
_cell_angle_gamma 90.00
_symmetry_space_group_name_H-M 'I 4/m m m'
_symmetry_Int_Tables_number 139
_symmetry_space_group_name_Hall '-I 4 2'
loop_
_atom_site_label
_atom_site_fract_x
_atom_site_fract_y
_atom_site_fract_z
_atom_site_occupancy
Cu1 0.0000 0.0000 0.0000 1
Sb1 0.0000 0.0000 0.5000 1
Mo1 0.0000 0.5000 0.2500 1

---

Entry 8:
# AcNdHo2Sb4 (GGA-PBE, optimized geometry)
# ΔE_f (raw): -1.13 eV/atom
# Total magnetic moment: 0.00 μB/f.u.
data_AcNdHo2Sb4
_chemical_formula_sum 'Ac1 Nd1 Ho2 Sb4'
_cell_length_a 7.8156
_cell_length_b 4.5235
_cell_length_c 7.8347
_cell_angle_alpha 90.00
_cell_angle_beta 109.48
_cell_angle_gamma 90.00
_symmetry_space_group_name_H-M 'P 1 2/m 1'
_symmetry_Int_Tables_number 10
loop_
_symmetry_equiv_pos_as_xyz
'x,y,z'
'-x,-y,-z'
'-x,y,-z'
'x,-y,z'
loop_
_atom_site_label
_atom_site_fract_x
_atom_site_fract_y
_atom_site_fract_z
_atom_site_occupancy
Ac1 0.0000 0.0000 0.0000 1
Nd1 0.0000 0.5000 0.5000 1
Ho1 0.5000 0.0000 0.5000 1
Ho2 0.5000 0.5000 0.0000 1
Sb1 0.2648 0.0000 0.7487 1
Sb2 0.2699 0.5000 0.2631 1

---

Which formula does entry 4 have?
Ca6MgTl3